# 1
Zn2CuSi after structural relaxation. Source: Alexandria via LeMat-Bulk, functional PBE-GGA.

Calculated values
- total moment (μB per atom) = 0.00
- uncorrected energy (eV/cell) = -11.6
- Fermi-level density of states (states/eV/atom) = 0.30

Structure (CIF):
```
data_Zn2CuSi
_chemical_formula_sum 'Zn2 Cu1 Si1'
_cell_length_a 2.816
_cell_length_b 4.374
_cell_length_c 4.932
_cell_angle_alpha 90.00
_cell_angle_beta 104.34
_cell_angle_gamma 90.00
_space_group_name_H-M_alt 'P 1 m 1'
_space_group_IT_number 6
loop_
_space_group_symop_operation_xyz
'x,y,z'
'x,-y,z'
loop_
_atom_site_label
_atom_site_type_symbol
_atom_site_fract_x
_atom_site_fract_y
_atom_site_fract_z
_atom_site_occupancy
Zn1 Zn 0.000 0.000 0.000 1
Zn2 Zn 0.442 0.500 0.833 1
Cu1 Cu 0.295 0.000 0.537 1
Si1 Si 0.147 0.500 0.305 1
```

# 2
CuAsO4 after structural relaxation. Source: Alexandria via LeMat-Bulk, functional PBE-GGA.

Calculated values
- total moment (μB per atom) = 0.00
- uncorrected energy (eV/cell) = -66.7

Structure (CIF):
```
data_CuAsO4
_chemical_formula_sum 'Cu2 As2 O8'
_cell_length_a 10.415
_cell_length_b 2.760
_cell_length_c 5.712
_cell_angle_alpha 90.00
_cell_angle_beta 93.19
_cell_angle_gamma 90.00
_space_group_name_H-M_alt 'C 1 2/m 1'
_space_group_IT_number 12
loop_
_space_group_symop_operation_xyz
'x,y,z'
'-x,-y,-z'
'-x,y,-z'
'x,-y,z'
'x+1/2,y+1/2,z'
'-x+1/2,-y+1/2,-z'
'-x+1/2,y+1/2,-z'
'x+1/2,-y+1/2,z'
loop_
_atom_site_label
_atom_site_type_symbol
_atom_site_fract_x
_atom_site_fract_y
_atom_site_fract_z
_atom_site_occupancy
Cu1 Cu 0.000 0.000 0.000 1
As1 As 0.000 0.500 0.500 1
O1 O 0.066 0.500 0.188 1
O2 O 0.112 0.000 0.584 1
```

# 3
Cs3Sr5Br12 after structural relaxation. Source: Alexandria via LeMat-Bulk, functional PBE-GGA.

Calculated values
- total moment (μB per atom) = 0.00
- uncorrected energy (eV/cell) = -553.1
- Fermi-level density of states (states/eV/atom) = 0.07

Structure (CIF):
```
data_Cs3Sr5Br12
_chemical_formula_sum 'Cs24 Sr40 Br96'
_cell_length_a 19.585
_cell_length_b 19.585
_cell_length_c 19.585
_cell_angle_alpha 90.00
_cell_angle_beta 90.00
_cell_angle_gamma 90.00
_space_group_name_H-M_alt 'I a -3 d'
_space_group_IT_number 230
_space_group_name_Hall '-I 4bd 2c 3'
loop_
_atom_site_label
_atom_site_type_symbol
_atom_site_fract_x
_atom_site_fract_y
_atom_site_fract_z
_atom_site_occupancy
Cs1 Cs 0.000 0.250 0.125 1
Sr1 Sr 0.000 0.000 0.000 1
Sr2 Sr 0.000 0.250 0.375 1
Br1 Br 0.029 0.055 0.646 1
```

# 4
Ti3O5 after structural relaxation. Source: Alexandria via LeMat-Bulk, functional PBE-GGA.

Calculated values
- excess energy over the best structure of this formula in the dataset (eV per formula unit) = 0.00
- total moment (μB per atom) = 0.00
- uncorrected energy (eV/cell) = -288.3
- Fermi-level density of states (states/eV/atom) = 0.30

Structure (CIF):
```
data_Ti3O5
_chemical_formula_sum 'Ti12 O20'
_cell_length_a 9.841
_cell_length_b 3.854
_cell_length_c 9.348
_cell_angle_alpha 90.00
_cell_angle_beta 91.07
_cell_angle_gamma 90.00
_space_group_name_H-M_alt 'C 1 2/m 1'
_space_group_IT_number 12
loop_
_space_group_symop_operation_xyz
'x,y,z'
'-x,-y,-z'
'-x,y,-z'
'x,-y,z'
'x+1/2,y+1/2,z'
'-x+1/2,-y+1/2,-z'
'-x+1/2,y+1/2,-z'
'x+1/2,-y+1/2,z'
loop_
_atom_site_label
_atom_site_type_symbol
_atom_site_fract_x
_atom_site_fract_y
_atom_site_fract_z
_atom_site_occupancy
Ti1 Ti 0.056 0.000 0.360 1
Ti2 Ti 0.131 0.000 0.045 1
Ti3 Ti 0.219 0.000 0.737 1
O1 O 0.042 0.000 0.848 1
O2 O 0.089 0.500 0.340 1
O3 O 0.129 0.000 0.557 1
O4 O 0.173 0.500 0.055 1
O5 O 0.244 0.000 0.243 1
```

# 5
AcTh2TcC4 after structural relaxation. Source: Alexandria via LeMat-Bulk, functional PBE-GGA.

Calculated values
- total moment (μB per atom) = 0.00
- energy of formation from the pure elements (eV/atom) = -0.058
- uncorrected energy (eV/cell) = -266.7
- Fermi-level density of states (states/eV/atom) = 0.58

Structure (CIF):
```
data_AcTh2TcC4
_chemical_formula_sum 'Ac4 Th8 Tc4 C16'
_cell_length_a 3.705
_cell_length_b 12.702
_cell_length_c 12.686
_cell_angle_alpha 90.00
_cell_angle_beta 90.00
_cell_angle_gamma 90.00
_space_group_name_H-M_alt 'C m c m'
_space_group_IT_number 63
_space_group_name_Hall '-C 2c 2'
loop_
_atom_site_label
_atom_site_type_symbol
_atom_site_fract_x
_atom_site_fract_y
_atom_site_fract_z
_atom_site_occupancy
Ac1 Ac 0.000 0.093 0.250 1
Th1 Th 0.000 0.369 0.042 1
Tc1 Tc 0.000 0.171 0.750 1
C1 C 0.000 0.000 0.000 1
C2 C 0.000 0.260 0.629 1
C3 C 0.000 0.404 0.250 1
```

# 6
TbCe3Sm2As6 after structural relaxation. Source: Alexandria via LeMat-Bulk, functional PBE-GGA.

Calculated values
- total moment (μB per atom) = 0.16
- energy of formation from the pure elements (eV/atom) = -1.483
- uncorrected energy (eV/cell) = -155.1
- Fermi-level density of states (states/eV/atom) = 1.39

Structure (CIF):
```
data_TbCe3Sm2As6
_chemical_formula_sum 'Tb2 Ce6 Sm4 As12'
_cell_length_a 7.281
_cell_length_b 12.611
_cell_length_c 7.275
_cell_angle_alpha 90.00
_cell_angle_beta 109.49
_cell_angle_gamma 90.00
_space_group_name_H-M_alt 'C 1 2/m 1'
_space_group_IT_number 12
loop_
_space_group_symop_operation_xyz
'x,y,z'
'-x,-y,-z'
'-x,y,-z'
'x,-y,z'
'x+1/2,y+1/2,z'
'-x+1/2,-y+1/2,-z'
'-x+1/2,y+1/2,-z'
'x+1/2,-y+1/2,z'
loop_
_atom_site_label
_atom_site_type_symbol
_atom_site_fract_x
_atom_site_fract_y
_atom_site_fract_z
_atom_site_occupancy
Tb1 Tb 0.000 0.000 0.000 1
Ce1 Ce 0.000 0.167 0.500 1
Ce2 Ce 0.000 0.500 0.500 1
Sm1 Sm 0.000 0.334 0.000 1
As1 As 0.247 0.000 0.749 1
As2 As 0.249 0.165 0.250 1
```

# 7
La2VRh after structural relaxation. Source: Alexandria via LeMat-Bulk, functional PBE-GGA.

Calculated values
- excess energy over the best structure of this formula in the dataset (eV per formula unit) = 0.70
- total moment (μB per atom) = 0.90
- energy of formation from the pure elements (eV/atom) = 0.172
- uncorrected energy (eV/cell) = -102.6
- Fermi-level density of states (states/eV/atom) = 1.11

Structure (CIF):
```
data_La2VRh
_chemical_formula_sum 'La8 V4 Rh4'
_cell_length_a 7.954
_cell_length_b 7.954
_cell_length_c 6.457
_cell_angle_alpha 90.00
_cell_angle_beta 90.00
_cell_angle_gamma 90.00
_space_group_name_H-M_alt 'I -4 2 d'
_space_group_IT_number 122
_space_group_name_Hall 'I -4 2bw'
loop_
_atom_site_label
_atom_site_type_symbol
_atom_site_fract_x
_atom_site_fract_y
_atom_site_fract_z
_atom_site_occupancy
La1 La 0.220 0.250 0.125 1
V1 V 0.000 0.000 0.500 1
Rh1 Rh 0.000 0.000 0.000 1
```

# 8
UFeCo2As2 after structural relaxation. Source: Alexandria via LeMat-Bulk, functional PBE-GGA.

Calculated values
- total moment (μB per atom) = 0.10
- energy of formation from the pure elements (eV/atom) = -0.316
- uncorrected energy (eV/cell) = -90.3
- Fermi-level density of states (states/eV/atom) = 1.05

Structure (CIF):
```
data_UFeCo2As2
_chemical_formula_sum 'U2 Fe2 Co4 As4'
_cell_length_a 3.820
_cell_length_b 6.154
_cell_length_c 7.474
_cell_angle_alpha 90.00
_cell_angle_beta 90.00
_cell_angle_gamma 90.00
_space_group_name_H-M_alt 'P m c 21'
_space_group_IT_number 26
loop_
_space_group_symop_operation_xyz
'x,y,z'
'-x,-y,z+1/2'
'-x,y,z'
'x,-y,z+1/2'
loop_
_atom_site_label
_atom_site_type_symbol
_atom_site_fract_x
_atom_site_fract_y
_atom_site_fract_z
_atom_site_occupancy
U1 U 0.000 0.151 0.000 1
Fe1 Fe 0.500 0.198 0.389 1
Co1 Co 0.000 0.299 0.622 1
Co2 Co 0.500 0.427 0.081 1
As1 As 0.000 0.414 0.325 1
As2 As 0.500 0.115 0.705 1
```